(1)
Li7Pm3Hg4 PBE optimized geometry; E_tot = -2.3339 eV/atom; space-group type = C2/m; M_tot = 0.00 μB/f.u.; energy of formation from the pure elements = -0.2728 eV/atom
1.0
-2.4592 3.9692 -1.4597
-7.8306 -2.6082 -2.0974
-6.0356 1.4619 5.9460
Li Pm Hg
7 3 4
direct
0.3415 0.8077 0.5094
0.5050 0.1660 0.8240
0.8577 0.3437 0.9410
0.6585 0.1923 0.4906
0.1423 0.6563 0.0590
0.0000 0.0000 0.0000
0.4950 0.8340 0.1760
0.2760 0.2227 0.2253
0.7240 0.7773 0.7747
0.0000 0.5000 0.5000
0.6502 0.4970 0.2027
0.3498 0.5030 0.7973
0.8645 0.9335 0.3375
0.1355 0.0665 0.6625



(2)
KIr2Pb2 PBE optimized geometry; excess energy over the best structure of this formula in the dataset = 0 meV per atom; E_tot = -5.0206 eV/atom; space-group type = I4/mmm; M_tot = 0.00 μB/f.u.; energy of formation from the pure elements = 0.2266 eV/atom
1.0
4.8566 0.0000 0.0000
0.0000 4.8566 0.0000
2.4283 2.4283 5.3185
Pb K Ir
2 1 2
direct
0.7500 0.2500 0.5000
0.2500 0.7500 0.5000
0.0000 0.0000 0.0000
0.3858 0.3858 0.2284
0.6142 0.6142 0.7716



(3)
Sm4CuAg2Hg PBE optimized geometry; E_tot = -3.9183 eV/atom; space-group type = R-3m; M_tot = 0.00 μB/f.u.; energy of formation from the pure elements = -0.2962 eV/atom
1.0
5.2324 0.0000 0.0000
2.6162 4.5314 0.0000
2.6162 1.5105 8.5259
Sm Cu Ag Hg
4 1 2 1
direct
0.3799 0.3799 0.8602
0.8704 0.8704 0.3887
0.1296 0.1296 0.6113
0.6201 0.6201 0.1398
0.5000 0.5000 0.5000
0.7473 0.7473 0.7580
0.2527 0.2527 0.2420
0.0000 0.0000 0.0000



(4)
Mg2ZrRe PBE optimized geometry; excess energy over the best structure of this formula in the dataset = 321 meV per atom; E_tot = -5.6235 eV/atom; space-group type = Fm-3m; M_tot = 0.00 μB/f.u.; energy of formation from the pure elements = 0.4228 eV/atom
1.0
4.4712 1.3793 0.2761
1.1017 3.9323 2.3008
2.2776 -0.2375 4.0898
Re Mg Zr
1 2 1
direct
0.5000 0.5000 0.5000
0.2500 0.2500 0.2500
0.7500 0.7500 0.7500
0.0000 0.0000 0.0000



(5)
La2AlPdO6 PBE optimized geometry; E_tot = -7.3086 eV/atom; space-group type = Pmmn; energy relative to the elements, uncorrected = -2.45 eV per atom; M_tot = 0.00 μB/f.u.
1.0
-2.1311 -4.9314 1.4251
5.0346 -1.7047 1.6297
-1.4267 2.7093 7.2417
La Al Pd O
4 2 2 12
direct
0.5000 0.7518 0.2499
0.0000 0.2482 0.7499
0.5000 0.7518 0.7501
0.0000 0.2482 0.2501
0.5000 0.2501 0.5000
0.0000 0.7499 0.0000
0.0000 0.7493 0.5000
0.5000 0.2507 0.0000
0.5000 0.2470 0.2610
0.5000 0.2470 0.7390
0.0000 0.7530 0.2390
0.0000 0.7530 0.7610
0.2611 0.0100 0.5000
0.7389 0.0100 0.5000
0.2606 0.4881 0.5000
0.7394 0.4881 0.5000
0.7606 0.5119 0.0000
0.2394 0.5119 0.0000
0.2389 0.9900 0.0000
0.7611 0.9900 0.0000



(6)
InPS2Br PBE optimized geometry; excess energy over the best structure of this formula in the dataset = 107 meV per atom; E_tot = -2.6593 eV/atom; space-group type = P4/mmm; energy relative to the elements, uncorrected = 0.96 eV per atom; M_tot = 0.00 μB/f.u.
1.0
-3.2801 -2.5713 2.5282
3.2327 -0.5826 3.6017
-1.6795 4.3103 2.2047
P S Br In
1 2 1 1
direct
0.0000 0.0000 0.5000
0.0000 0.5000 0.0000
0.5000 0.0000 0.0000
0.0000 0.0000 0.0000
0.5000 0.5000 0.5000



(7)
Tl6Hg12Bi PBE optimized geometry; E_tot = -1.1325 eV/atom; space-group type = R-3; M_tot = 0.00 μB/f.u.; energy of formation from the pure elements = 0.0096 eV/atom
1.0
8.3765 0.1151 0.1379
-1.1561 8.2972 0.1379
-1.1561 -1.3470 8.1882
Tl Hg Bi
6 12 1
direct
0.6898 0.8388 0.2455
0.7545 0.3102 0.1612
0.1612 0.7545 0.3102
0.3102 0.1612 0.7545
0.2455 0.6898 0.8388
0.8388 0.2455 0.6898
0.7917 0.5582 0.5032
0.5032 0.7917 0.5582
0.5582 0.5032 0.7917
0.2083 0.4418 0.4968
0.4968 0.2083 0.4418
0.4418 0.4968 0.2083
0.0021 0.1218 0.3749
0.8782 0.6251 0.9979
0.6251 0.9979 0.8782
0.9979 0.8782 0.6251
0.1218 0.3749 0.0021
0.3749 0.0021 0.1218
0.0000 0.0000 0.0000



(8)
Zn2SnI PBE optimized geometry; excess energy over the best structure of this formula in the dataset = 316 meV per atom; E_tot = -1.6590 eV/atom; space-group type = Fm-3m; energy relative to the elements, uncorrected = 0.37 eV per atom; M_tot = 0.00 μB/f.u.
1.0
-2.8681 -4.2315 1.0914
-3.3458 0.0750 4.0153
-5.1506 0.0330 -0.8901
I Zn Sn
1 2 1
direct
0.5000 0.5000 0.5000
0.2500 0.2500 0.2500
0.7500 0.7500 0.7500
0.0000 0.0000 0.0000



(9)
SrAl2I PBE optimized geometry; excess energy over the best structure of this formula in the dataset = 174 meV per atom; E_tot = -2.3922 eV/atom; space-group type = Fm-3m; energy relative to the elements, uncorrected = 0.29 eV per atom; M_tot = 0.00 μB/f.u.
1.0
0.0000 3.9551 3.9551
3.9551 0.0000 3.9551
3.9551 3.9551 0.0000
I Sr Al
1 1 2
direct
0.5000 0.5000 0.5000
0.0000 0.0000 0.0000
0.2500 0.2500 0.2500
0.7500 0.7500 0.7500



(10)
Pm15Sm2Mg2 PBE optimized geometry; E_tot = -4.2034 eV/atom; space-group type = R-3m; M_tot = 0.00 μB/f.u.; energy of formation from the pure elements = 0.2116 eV/atom
1.0
8.4822 -0.6291 2.2226
1.5555 8.3621 2.2226
-0.8166 -0.6291 8.7305
Pm Sm Mg
15 2 2
direct
0.0000 0.5000 0.0000
0.0000 0.0000 0.5000
0.5000 0.0000 0.0000
0.2955 0.0000 0.7045
0.7045 0.2955 0.0000
0.0000 0.7045 0.2955
0.2955 0.7045 0.0000
0.0000 0.2955 0.7045
0.7045 0.0000 0.2955
0.3662 0.8453 0.3662
0.3662 0.3662 0.8453
0.8453 0.3662 0.3662
0.6338 0.1547 0.6338
0.6338 0.6338 0.1547
0.1547 0.6338 0.6338
0.6817 0.6817 0.6817
0.3183 0.3183 0.3183
0.9068 0.9068 0.9068
0.0932 0.0932 0.0932



(11)
NaSnGe2Se6 PBE optimized geometry; E_tot = -3.8897 eV/atom; space-group type = C2/c; energy relative to the elements, uncorrected = -0.34 eV per atom; M_tot = 0.01 μB/f.u.
1.0
-5.4739 -4.6291 -0.6713
-0.3905 -1.5626 -9.0375
4.0838 -8.2142 0.3469
Na Sn Ge Se
2 2 4 12
direct
0.2500 0.8735 0.1265
0.7500 0.1265 0.8735
0.2500 0.2481 0.7519
0.7500 0.7519 0.2481
0.2618 0.7922 0.6270
0.2382 0.3730 0.2078
0.7382 0.2078 0.3730
0.7618 0.6270 0.7922
0.1586 0.9693 0.8198
0.3414 0.1802 0.0307
0.8414 0.0307 0.1802
0.6586 0.8198 0.9693
0.3759 0.9081 0.3935
0.1241 0.6065 0.0919
0.6241 0.0919 0.6065
0.8759 0.3935 0.9081
0.9965 0.6933 0.5721
0.5035 0.4279 0.3067
0.0035 0.3067 0.4279
0.4965 0.5721 0.6933



(12)
PmMn2Ge3 PBE optimized geometry; E_tot = -6.4525 eV/atom; space-group type = Cmcm; M_tot = 3.00 μB/f.u.; energy of formation from the pure elements = -0.2956 eV/atom
1.0
-5.1901 1.0934 -0.7553
-1.5513 -5.1990 3.1337
0.2749 4.3881 4.4638
Pm Mn Ge
2 4 6
direct
0.2500 0.3382 0.3382
0.7500 0.6618 0.6618
0.5000 0.7967 0.2033
0.0000 0.7967 0.2033
0.0000 0.2033 0.7967
0.5000 0.2033 0.7967
0.7500 0.4702 0.1074
0.7500 0.1074 0.4702
0.2500 0.5298 0.8926
0.7500 0.0489 0.0489
0.2500 0.9511 0.9511
0.2500 0.8926 0.5298



> What is the E_tot in the fifth record?

-7.3086 eV/atom